# 1
Density functional theory data (PBE) for SrSi2Ni after structural relaxation.

Cell: 3.238 3.238 6.914 Å, 90.00 90.00 90.00°
Space group P4mm (No. 99)
Unique sites:
Sr 0.000 0.000 0.000 [1 per cell]
Si 0.000 0.000 0.467 [1 per cell]
Si 0.500 0.500 0.677 [1 per cell]
Ni 0.500 0.500 0.347 [1 per cell]

Results
size of the total moment: 0.0 Bohr magnetons per cell
total DFT energy (no corrections): -18.6 eV for the cell shown



# 2
Density functional theory data (PBE) for K2BaMnB after structural relaxation.

Cell: 5.992 5.992 5.716 Å, 90.00 90.00 90.00°
Space group P4/mmm (No. 123)
Unique sites:
K 0.000 0.500 0.000 [2 per cell]
Ba 0.000 0.000 0.500 [1 per cell]
Mn 0.000 0.000 0.000 [1 per cell]
B 0.500 0.500 0.500 [1 per cell]

Results
size of the total moment: 2.3 Bohr magnetons per cell
ΔH_f (0 K): 1.835 eV per atom



# 3
Density functional theory data (PBE) for TaTl5Se6 after structural relaxation.

Cell: 7.462 12.803 7.657 Å, 90.00 108.42 90.00°
Space group C2/m (No. 12)
Unique sites:
Ta 0.000 0.000 0.000 [2 per cell]
Tl 0.000 0.171 0.500 [4 per cell]
Tl 0.000 0.336 0.000 [4 per cell]
Tl 0.000 0.500 0.500 [2 per cell]
Se 0.212 0.143 0.203 [8 per cell]
Se 0.213 0.000 0.784 [4 per cell]

Results
size of the total moment: 0.0 Bohr magnetons per cell
total DFT energy (no corrections): -100.2 eV for the cell shown